1.
Y2ReW: optimized geometry, PBE-GGA.

Results
The crystal system is monoclinic. The calculated volume comes out at 20.20 Å³/atom. For the energy above the lowest structure with this stoichiometry, the calculation gives 0.5190 eV/atom. The formation energy comes out at 243 kJ/mol of formula units. As for the space group: C2/m (12).

a = 5.713 Å, b = 5.704 Å, c = 2.954 Å
α = 80.90°, β = 78.38°, γ = 116.66°
Element x y z (fractional)
Y1 0.000 0.000 0.000
Re1 0.000 0.500 0.500
Y2 0.500 0.000 0.500
W1 0.500 0.500 0.000

2.
Y2ReW: optimized geometry, PBE-GGA.

Results
The crystal system is cubic. The calculated volume comes out at 21.25 Å³/atom. For the energy above the lowest structure with this stoichiometry, the calculation gives 0.6382 eV/atom. The formation energy comes out at 289 kJ/mol of formula units. As for the space group: Fm-3m (225).

a = 4.935 Å, b = 4.935 Å, c = 4.935 Å
α = 60.00°, β = 60.00°, γ = 60.00°
Last column: magnetic moment on the atom in μB.
Element x y z (fractional)
Y1 0.250 0.250 0.250  0.13
W1 0.000 0.000 0.000  1.26
Re1 0.500 0.500 0.500  0.27
Y2 0.750 0.750 0.750  0.13

3.
YReW2: optimized geometry, PBE-GGA.

Results
The crystal system is orthorhombic. The calculated volume comes out at 17.79 Å³/atom. For the energy above the lowest structure with this stoichiometry, the calculation gives 0.0675 eV/atom. The formation energy comes out at 137 kJ/mol of formula units. As for the space group: Cmm2 (35).

a = 2.839 Å, b = 2.839 Å, c = 9.430 Å
α = 90.00°, β = 90.00°, γ = 110.63°
Element x y z (fractional)
Y1 0.000 0.000 0.505
Re1 0.500 0.500 0.772
W1 0.000 0.000 0.996
W2 0.500 0.500 0.226

4.
YReW2: optimized geometry, PBE-GGA.

Results
The crystal system is tetragonal. The calculated volume comes out at 18.59 Å³/atom. For the energy above the lowest structure with this stoichiometry, the calculation gives 0.0640 eV/atom. The formation energy comes out at 135 kJ/mol of formula units. As for the space group: P4/mmm (123).

a = 3.149 Å, b = 3.149 Å, c = 7.499 Å
α = 90.00°, β = 90.00°, γ = 90.00°
Element x y z (fractional)
Re1 0.500 0.500 0.750
Y1 0.500 0.500 0.250
W1 0.000 0.000 0.546
W2 0.000 0.000 0.954

5.
YRe2W: optimized geometry, PBE-GGA.

Results
The crystal system is cubic. The calculated volume comes out at 17.29 Å³/atom. For the energy above the lowest structure with this stoichiometry, the calculation gives 0.0909 eV/atom. The formation energy comes out at 92 kJ/mol of formula units. As for the space group: Fm-3m (225).

a = 4.607 Å, b = 4.607 Å, c = 4.607 Å
α = 60.00°, β = 60.00°, γ = 60.00°
Element x y z (fractional)
Y1 0.000 0.000 0.000
Re1 0.750 0.750 0.750
W1 0.500 0.500 0.500
Re2 0.250 0.250 0.250

6.
YReW2: optimized geometry, PBE-GGA.

Results
The crystal system is tetragonal. The calculated volume comes out at 18.23 Å³/atom. For the energy above the lowest structure with this stoichiometry, the calculation gives 0.3967 eV/atom. The formation energy comes out at 264 kJ/mol of formula units. As for the space group: I4/mmm (139).

a = 5.509 Å, b = 5.509 Å, c = 5.509 Å
α = 138.39°, β = 138.39°, γ = 60.31°
Element x y z (fractional)
Re1 0.750 0.250 0.500
Y1 0.250 0.750 0.500
W1 0.000 0.000 0.000
W2 0.500 0.500 0.000

7.
Y2ReW: optimized geometry, PBE-GGA.

Results
The crystal system is orthorhombic. The calculated volume comes out at 20.52 Å³/atom. For the energy above the lowest structure with this stoichiometry, the calculation gives 0.5777 eV/atom. The formation energy comes out at 266 kJ/mol of formula units. As for the space group: Pmmm (47).

a = 2.895 Å, b = 4.915 Å, c = 5.769 Å
α = 90.00°, β = 90.00°, γ = 90.00°
Element x y z (fractional)
Y1 0.000 0.000 0.005
W1 0.500 0.500 0.750
Y2 0.000 0.000 0.495
Re1 0.500 0.500 0.250

8.
ZnReW2: optimized geometry, PBE-GGA.

Results
The crystal system is monoclinic. The calculated volume comes out at 15.43 Å³/atom. The formation energy comes out at 86 kJ/mol of formula units. As for the space group: P2/m (10).

a = 4.385 Å, b = 2.692 Å, c = 5.378 Å
α = 76.49°, β = 90.00°, γ = 90.00°
Element x y z (fractional)
W1 0.000 0.514 0.499
Zn1 0.500 0.250 0.250
W2 0.000 0.986 0.001
Re1 0.500 0.750 0.750

9.
ZnReW2: optimized geometry, PBE-GGA.

Results
The crystal system is tetragonal. The calculated volume comes out at 15.34 Å³/atom. The formation energy comes out at 105 kJ/mol of formula units. As for the space group: P4mm (99).

a = 3.269 Å, b = 3.269 Å, c = 5.742 Å
α = 90.00°, β = 90.00°, γ = 90.00°
Element x y z (fractional)
W1 0.000 0.000 0.998
Re1 0.500 0.500 0.742
Zn1 0.000 0.000 0.502
W2 0.500 0.500 0.258

10.
ZnReW2: optimized geometry, PBE-GGA.

Results
The crystal system is tetragonal. The calculated volume comes out at 15.51 Å³/atom. The formation energy comes out at 143 kJ/mol of formula units. As for the space group: P4mm (99).

a = 2.768 Å, b = 2.768 Å, c = 8.099 Å
α = 90.00°, β = 90.00°, γ = 90.00°
Element x y z (fractional)
Zn1 0.000 0.000 0.506
W1 0.500 0.500 0.258
Re1 0.500 0.500 0.746
W2 0.000 0.000 0.990

11.
Zn2ReW: optimized geometry, PBE-GGA.

Results
The crystal system is monoclinic. The calculated volume comes out at 14.95 Å³/atom. For the energy above the lowest structure with this stoichiometry, the calculation gives 0.0904 eV/atom. The formation energy comes out at 103 kJ/mol of formula units. As for the space group: P2/m (10).

a = 4.421 Å, b = 2.660 Å, c = 5.205 Å
α = 77.77°, β = 90.00°, γ = 90.00°
Element x y z (fractional)
Zn1 0.000 0.037 0.001
Zn2 0.000 0.463 0.499
W1 0.500 0.750 0.750
Re1 0.500 0.250 0.250

12.
ZnReW2: optimized geometry, PBE-GGA.

Results
The crystal system is tetragonal. The calculated volume comes out at 15.38 Å³/atom. The formation energy comes out at 124 kJ/mol of formula units. As for the space group: I-4m2 (119).

a = 4.875 Å, b = 4.875 Å, c = 4.875 Å
α = 132.65°, β = 132.65°, γ = 69.21°
Element x y z (fractional)
W1 0.250 0.750 0.500
Zn1 0.500 0.500 0.000
Re1 0.750 0.250 0.500
W2 0.000 0.000 0.000

Number 7 is which compound? Y2ReW

Which value of calculated volume does entry 1 give? 20.20 Å³/atom

Repeat the third record exactly.
YReW2: optimized geometry, PBE-GGA.

Results
The crystal system is orthorhombic. The calculated volume comes out at 17.79 Å³/atom. For the energy above the lowest structure with this stoichiometry, the calculation gives 0.0675 eV/atom. The formation energy comes out at 137 kJ/mol of formula units. As for the space group: Cmm2 (35).

a = 2.839 Å, b = 2.839 Å, c = 9.430 Å
α = 90.00°, β = 90.00°, γ = 110.63°
Element x y z (fractional)
Y1 0.000 0.000 0.505
Re1 0.500 0.500 0.772
W1 0.000 0.000 0.996
W2 0.500 0.500 0.226